Below is an optimized crystal structure of Dy6HoTm3Th2, with properties calculated at the GGA-PBE level.

## Properties
- Formation energy: 0.028 eV per atom
- Total energy: -60.11 eV per cell
- Symmetry: C2/m (12)

a b c (Å): 6.125 6.125 11.720
angles (deg): 95.00 95.00 119.94
Sites, in units of the cell vectors:
1 Dy 0.580 0.916 0.750
2 Th 0.333 0.667 0.000
3 Dy 0.420 0.084 0.250
4 Ho 0.000 0.000 0.000
5 Tm 0.834 0.166 0.500
6 Tm 0.166 0.834 0.500
7 Dy 0.916 0.580 0.750
8 Tm 0.500 0.500 0.500
9 Dy 0.253 0.253 0.750
10 Dy 0.747 0.747 0.250
11 Dy 0.084 0.420 0.250
12 Th 0.667 0.333 0.000